1.
NdY2Ru | PBE | optimized geometry

The structure belongs to space group Pnma (No. 62); the cell edges are 7.3584, 9.3320 and 6.4581 Å and the angles 90.00°, 90.00° and 90.00°. Symmetry generates all atoms from Nd at (0.0426, 0.2500, 0.1338), Y at (0.1757, 0.0662, 0.6685) and Ru at (0.1150, 0.7500, 0.4557).

Its total energy is -7.01 eV per atom. The energy above the most stable polymorph in this dataset is 0 meV per atom.

---

2.
HoTlSeS | PBE | optimized geometry

The structure belongs to space group R3m (No. 160, hexagonal axes); the cell edges are 4.0704, 4.0704 and 23.3349 Å and the angles 90.00°, 90.00° and 120.00°. Symmetry generates all atoms from Ho at (0.0000, 0.0000, 0.0000), Tl at (0.0000, 0.0000, 0.1706), Se at (0.0000, 0.0000, 0.4055) and S at (0.0000, 0.0000, 0.6070).

As for the uncorrected formation energy: -1.420 eV/atom. Its total energy is -5.06 eV per atom.

---

3.
CuPb2Br2O2 | PBE | optimized geometry

The structure belongs to space group I4/mmm (No. 139); the cell edges are 4.0179, 4.0179 and 18.9702 Å and the angles 90.00°, 90.00° and 90.00°. Symmetry generates all atoms from Cu at (0.0000, 0.0000, 0.0000), Pb at (0.0000, 0.0000, 0.4084), Br at (0.0000, 0.0000, 0.1678) and O at (0.0000, 0.5000, 0.0000).

As for the uncorrected formation energy: -0.843 eV/atom. Its total energy is -4.38 eV per atom.

---

4.
SrCl | PBE | optimized geometry

The structure belongs to space group P6_3/mmc (No. 194); the cell edges are 4.3976, 4.3976 and 7.2882 Å and the angles 90.00°, 90.00° and 120.00°. Symmetry generates all atoms from Sr at (0.3333, 0.6667, 0.2500) and Cl at (0.0000, 0.0000, 0.0000).

As for the uncorrected formation energy: -1.615 eV/atom. Its total energy is -3.38 eV per atom.

---

5.
Li3Al4Ag2 | PBE | optimized geometry

The structure belongs to space group C2/m (No. 12); the cell edges are 15.5034, 2.8974 and 6.7695 Å and the angles 90.00°, 100.62° and 90.00°. Symmetry generates all atoms from Li at (0.0000, 0.0000, 0.0000), Li at (0.1025, 0.0000, 0.3653), Al at (0.0544, 0.5000, 0.6893), Al at (0.2227, 0.5000, 0.6551) and Ag at (0.1691, 0.5000, 0.0504).

Its total energy is -3.05 eV per atom. The energy above the most stable polymorph in this dataset is 48 meV per atom.

---

6.
YZn6Cu | PBE | optimized geometry

The structure belongs to space group R-3m (No. 166, hexagonal axes); the cell edges are 4.2628, 4.2628 and 25.3743 Å and the angles 90.00°, 90.00° and 120.00°. Symmetry generates all atoms from Y at (0.0000, 0.0000, 0.0000), Zn at (0.0000, 0.0000, 0.1334), Zn at (0.0000, 0.0000, 0.2467), Zn at (0.0000, 0.0000, 0.4010) and Cu at (0.0000, 0.0000, 0.5000).

Its total energy is -2.45 eV per atom. The energy above the most stable polymorph in this dataset is 0 meV per atom.

---

Please write out number 1 again, unchanged.
NdY2Ru | PBE | optimized geometry

The structure belongs to space group Pnma (No. 62); the cell edges are 7.3584, 9.3320 and 6.4581 Å and the angles 90.00°, 90.00° and 90.00°. Symmetry generates all atoms from Nd at (0.0426, 0.2500, 0.1338), Y at (0.1757, 0.0662, 0.6685) and Ru at (0.1150, 0.7500, 0.4557).

Its total energy is -7.01 eV per atom. The energy above the most stable polymorph in this dataset is 0 meV per atom.

---

Copy entry 4 word for word.
SrCl | PBE | optimized geometry

The structure belongs to space group P6_3/mmc (No. 194); the cell edges are 4.3976, 4.3976 and 7.2882 Å and the angles 90.00°, 90.00° and 120.00°. Symmetry generates all atoms from Sr at (0.3333, 0.6667, 0.2500) and Cl at (0.0000, 0.0000, 0.0000).

As for the uncorrected formation energy: -1.615 eV/atom. Its total energy is -3.38 eV per atom.